Density functional theory data (PBE) for Dy3YFe8 after structural relaxation.

The structure in POSCAR format:
```
Dy3YFe8
1.0
1.012 4.985 0.728
-0.056 1.967 4.747
8.462 0.542 2.655
Dy Y Fe
3 1 8
direct
0.375 0.375 0.875
0.000 0.000 0.000
0.500 0.500 0.500
0.875 0.875 0.375
0.938 0.438 0.187
0.437 0.938 0.688
0.438 0.438 0.187
0.938 0.938 0.688
0.187 0.187 0.438
0.687 0.687 0.938
0.438 0.938 0.187
0.938 0.437 0.688
```

Calculated values
* formation energy from the elements: -0.076 eV/atom
* uncorrected energy: -88.89 eV per cell
* space group: R3m
* calculated volume: 191.5 Å³/f.u.